Density functional theory data (PBE-GGA) for a relaxed structure of Zn2SbF8.

Structure (POSCAR):
```
Zn2SbF8
1.0
-2.7534 2.7534 5.0691
2.7534 -2.7534 5.0691
2.7534 2.7534 -5.0691
Zn Sb F
2 1 8
direct
0.2500 0.7500 0.5000
0.7500 0.2500 0.5000
0.0000 0.0000 0.0000
0.0387 0.5956 0.8752
0.1635 0.0387 0.4431
0.2796 0.4044 0.4431
0.4044 0.9613 0.1248
0.5956 0.7204 0.5569
0.7204 0.1635 0.1248
0.8365 0.2796 0.8752
0.9613 0.8365 0.5569
```

Density functional theory data (PBE-GGA) for a relaxed structure of ZnSb2F8.

Structure (POSCAR):
```
ZnSb2F8
1.0
4.8401 -3.5429 0.0000
4.8401 3.5429 0.0000
-1.7285 0.0000 4.9014
Zn Sb F
1 2 8
direct
0.0000 0.0000 0.0000
0.3306 0.3306 0.6984
0.6694 0.6694 0.3016
0.0589 0.6616 0.7643
0.1327 0.1327 0.7478
0.3384 0.9411 0.2357
0.4014 0.4014 0.1118
0.5986 0.5986 0.8882
0.6616 0.0589 0.7643
0.8673 0.8673 0.2522
0.9411 0.3384 0.2357
```

Density functional theory data (PBE-GGA) for a relaxed structure of Zn2SbF.

Structure (POSCAR):
```
Zn2SbF
1.0
-2.6471 2.6471 6.2256
2.6471 -2.6471 6.2256
2.6471 2.6471 -6.2256
Zn Sb F
4 2 2
direct
0.0709 0.6250 0.9459
0.3750 0.3209 0.4459
0.6791 0.1250 0.0541
0.8750 0.9291 0.5541
0.2500 0.7500 0.5000
0.5000 0.5000 0.0000
0.0000 0.0000 0.0000
0.7500 0.2500 0.5000
```

The calculation puts the energy above the most stable polymorph in this dataset at 69 meV per atom.

Density functional theory data (PBE-GGA) for a relaxed structure of ZnSb3F.

Structure (POSCAR):
```
ZnSb3F
1.0
5.1860 0.0000 0.0000
0.0000 5.1860 0.0000
0.0000 0.0000 5.1860
Zn Sb F
1 3 1
direct
0.0000 0.0000 0.0000
0.0000 0.0000 0.5000
0.0000 0.5000 0.0000
0.5000 0.0000 0.0000
0.5000 0.5000 0.5000
```

The calculation puts the energy above the most stable polymorph in this dataset at 209 meV per atom.

no.,formation energy from raw total energies (meV per atom),total DFT energy (no corrections) (eV per atom)
1,-2143,-4.110
2,-2333,-4.559
3,-676,-2.811
4,284,-2.818